## K3Ba (PBEsol)

Data for a relaxed K3Ba crystal.

Structure (CIF):
```
data_K3Ba
_cell_length_a 9.1876
_cell_length_b 13.0021
_cell_length_c 4.5017
_cell_angle_alpha 90.00
_cell_angle_beta 90.00
_cell_angle_gamma 90.00
_symmetry_space_group_name_H-M 'C m m m'
_symmetry_Int_Tables_number 65
_symmetry_space_group_name_Hall '-C 2 2'
loop_
_atom_site_label
_atom_site_type_symbol
_atom_site_fract_x
_atom_site_fract_y
_atom_site_fract_z
_atom_site_occupancy
K1 K 0.0000 0.0000 0.0000 1
K2 K 0.2500 0.2500 0.5000 1
Ba1 Ba 0.0000 0.5000 0.0000 1
```

Values from the calculation:
Magnetization   0.0 μB/f.u.
N(E_F)   9.43 states/eV per cell
Energy relative to the elements   0.0983 eV per atom
Mass density   1.6 g/cm³



## K2MgH12S2O14 (PBEsol)

Data for a relaxed K2MgH12S2O14 crystal.

Structure (CIF):
```
data_K2MgH12S2O14
_cell_length_a 6.1306
_cell_length_b 12.0638
_cell_length_c 8.9420
_cell_angle_alpha 90.00
_cell_angle_beta 103.76
_cell_angle_gamma 90.00
_symmetry_space_group_name_H-M 'P 1 21/c 1'
_symmetry_Int_Tables_number 14
_symmetry_space_group_name_Hall '-P 2ybc'
loop_
_atom_site_label
_atom_site_type_symbol
_atom_site_fract_x
_atom_site_fract_y
_atom_site_fract_z
_atom_site_occupancy
K1 K 0.1659 0.1612 0.3641 1
Mg1 Mg 0.5000 0.0000 0.0000 1
H1 H 0.1581 0.5603 0.6113 1
H2 H 0.1635 0.6465 0.4758 1
H3 H 0.1753 0.0852 0.7761 1
H4 H 0.4130 0.1241 0.7462 1
H5 H 0.4159 0.6025 0.2265 1
H6 H 0.4896 0.6952 0.3558 1
S1 S 0.2188 0.6348 0.9123 1
O1 O 0.0704 0.7333 0.9062 1
O2 O 0.1090 0.5573 0.7866 1
O3 O 0.2064 0.5695 0.5131 1
O4 O 0.2436 0.5772 0.0615 1
O5 O 0.3308 0.1096 0.8278 1
O6 O 0.4433 0.6698 0.8907 1
O7 O 0.4763 0.1177 0.1717 1
```

Values from the calculation:
VASP energy   -5.512 eV per atom
Magnetization   0.2 μB/f.u.
N(E_F)   0.00 states/eV per cell
Mass density   2.1 g/cm³



## Li3CuF6 (PBEsol)

Data for a relaxed Li3CuF6 crystal.

Structure (CIF):
```
data_Li3CuF6
_cell_length_a 7.3086
_cell_length_b 7.3086
_cell_length_c 7.3086
_cell_angle_alpha 90.00
_cell_angle_beta 90.00
_cell_angle_gamma 90.00
_symmetry_space_group_name_H-M 'P n -3'
_symmetry_Int_Tables_number 201
loop_
_symmetry_equiv_pos_as_xyz
'x,y,z'
'-x,-y,-z'
'-x+1/2,-y+1/2,z'
'x+1/2,y+1/2,-z'
'x,-y+1/2,-z+1/2'
'-x,y+1/2,z+1/2'
'-x+1/2,y,-z+1/2'
'x+1/2,-y,z+1/2'
'z,x,y'
'-z,-x,-y'
'z,-x+1/2,-y+1/2'
'-z,x+1/2,y+1/2'
'-z+1/2,x,-y+1/2'
'z+1/2,-x,y+1/2'
'-z+1/2,-x+1/2,y'
'z+1/2,x+1/2,-y'
'y,z,x'
'-y,-z,-x'
'-y+1/2,z,-x+1/2'
'y+1/2,-z,x+1/2'
'-y+1/2,-z+1/2,x'
'y+1/2,z+1/2,-x'
'y,-z+1/2,-x+1/2'
'-y,z+1/2,x+1/2'
loop_
_atom_site_label
_atom_site_type_symbol
_atom_site_fract_x
_atom_site_fract_y
_atom_site_fract_z
_atom_site_occupancy
Li1 Li 0.0000 0.0000 0.0000 1
Li2 Li 0.2500 0.2500 0.2500 1
Li3 Li 0.2500 0.2500 0.7500 1
Cu1 Cu 0.0000 0.0000 0.5000 1
F1 F 0.0540 0.5693 0.7562 1
```

Values from the calculation:
Magnetization   2.0 μB/f.u.
Formation energy from raw total energies   -2222 kJ/mol of formula units
Mass density   3.4 g/cm³
Distance to the lowest polymorph of the same formula   49 meV/atom